Here is Zn2BiC after structural relaxation from Alexandria. Energies are from PBEsol.

The structure belongs to space group I-42d (No. 122); the cell edges are 6.020, 6.020 and 8.614 Å and the angles 90.00°, 90.00° and 90.00°. The inequivalent atoms are Zn at (0.070, 0.750, 0.125), Bi at (0.000, 0.000, 0.500) and C at (0.000, 0.000, 0.000).

Its uncorrected energy is -3.59 eV/atom.